The following is a PBE-GGA calculation of PaTlZn2O8 after structural relaxation, from the Alexandria database.

a = 6.0503 Å, b = 6.0503 Å, c = 6.0503 Å
α = 110.51°, β = 110.51°, γ = 107.41°
Fractional coordinates of all 12 atoms:
Pa 0.0000 0.0000 0.0000
Tl 0.7500 0.2500 0.5000
Zn 0.2500 0.7500 0.5000
Zn 0.5000 0.5000 0.0000
O 0.0610 0.3630 0.3021
O 0.0610 0.7589 0.6979
O 0.1131 0.2922 0.8209
O 0.2411 0.9390 0.3021
O 0.4713 0.2922 0.1791
O 0.6370 0.9390 0.6979
O 0.7078 0.5287 0.8209
O 0.7078 0.8869 0.1791

## Properties
Energy relative to the elements, uncorrected = -1.234 eV/atom